(1)
Below is a relaxed structure of Ho2Er3Tm3Te, with properties calculated at the PBE level.

Cell and atoms, written as CIF:
```
data_Ho2Er3Tm3Te
_chemical_formula_sum 'Ho2 Er3 Tm3 Te1'
_symmetry_space_group_name_H-M 'P -6 2 m'
_symmetry_Int_Tables_number 189
_symmetry_space_group_name_Hall 'P -6 -2'
_cell_length_a 9.1104
_cell_length_b 9.1104
_cell_length_c 3.7355
_cell_angle_alpha 90.00
_cell_angle_beta 90.00
_cell_angle_gamma 120.00
loop_
_atom_site_label
_atom_site_type_symbol
_atom_site_fract_x
_atom_site_fract_y
_atom_site_fract_z
_atom_site_occupancy
Ho1 Ho 0.3333 0.6667 0.0000 1
Er1 Er 0.0000 0.2753 0.0000 1
Tm1 Tm 0.0000 0.6157 0.5000 1
Te1 Te 0.0000 0.0000 0.5000 1
```

(2)
Below is a relaxed structure of Y3Ho3Er2Te, with properties calculated at the PBE level.

Cell and atoms, written as CIF:
```
data_Y3Ho3Er2Te
_chemical_formula_sum 'Y3 Ho3 Er2 Te1'
_symmetry_space_group_name_H-M 'P -6 2 m'
_symmetry_Int_Tables_number 189
_symmetry_space_group_name_Hall 'P -6 -2'
_cell_length_a 9.2032
_cell_length_b 9.2032
_cell_length_c 3.7686
_cell_angle_alpha 90.00
_cell_angle_beta 90.00
_cell_angle_gamma 120.00
loop_
_atom_site_label
_atom_site_type_symbol
_atom_site_fract_x
_atom_site_fract_y
_atom_site_fract_z
_atom_site_occupancy
Y1 Y 0.0000 0.2743 0.0000 1
Ho1 Ho 0.0000 0.6163 0.5000 1
Er1 Er 0.3333 0.6667 0.0000 1
Te1 Te 0.0000 0.0000 0.5000 1
```

The value obtained for the energy above the most stable polymorph in this dataset is 0 meV per atom.

| no. | DFT total energy (eV for the cell shown) |
| --- | --- |
| 1 | -41.9 |
| 2 | -48.0 |